[1]
A plane-wave DFT calculation with PBE-GGA was carried out for a relaxed structure of Pu2ThS4.

Values from the calculation:
Fermi-level density of states, states/eV/f.u.: 16.13
E_form (uncorrected), eV/atom: -1.7782
Electronic total energy, eV/atom: -9.292
Mass density, g/cm3: 8.394
Symmetry: Cmcm, No. 63

abc: 6.8329 6.8329 13.0910
angles: 90.00 90.00 146.69
Closest atoms and distances in Å follow each position.
Positions (direct):
1 Pu 0.1326 0.8674 0.5657  6 S 2.75-2.79
2 Pu 0.1326 0.8674 0.9343  6 S 2.75-2.79
3 Pu 0.8674 0.1326 0.0657  6 S 2.75-2.79
4 Pu 0.8674 0.1326 0.4343  6 S 2.75-2.79
5 Th 0.3775 0.6225 0.7500  6 S 2.80-2.89
6 Th 0.6225 0.3775 0.2500  6 S 2.80-2.89
7 S 0.0305 0.9695 0.7500  2 Pu 2.76, 2 Th 2.80
8 S 0.2273 0.7727 0.1253  3 Pu 2.79, 2 Th 2.89
9 S 0.2273 0.7727 0.3747  3 Pu 2.79, 2 Th 2.89
10 S 0.5000 0.5000 0.0000  4 Pu 2.75
11 S 0.5000 0.5000 0.5000  4 Pu 2.75
12 S 0.7727 0.2273 0.6253  3 Pu 2.79, 2 Th 2.89
13 S 0.7727 0.2273 0.8747  3 Pu 2.79, 2 Th 2.89
14 S 0.9695 0.0305 0.2500  2 Pu 2.76, 2 Th 2.80

[2]
A plane-wave DFT calculation with PBE-GGA was carried out for a relaxed structure of Pu2ThS6.

Values from the calculation:
Fermi-level density of states, states/eV/f.u.: 12.87
E_form (uncorrected), eV/atom: -1.5022
Electronic total energy, eV/atom: -8.263
Mass density, g/cm3: 6.193
Symmetry: C2/m, No. 12

abc: 7.1860 7.1860 8.8900
angles: 123.39 123.39 41.20
Closest atoms and distances in Å follow each position.
Positions (direct):
1 Pu 0.1811 0.1811 0.1037  6 S 2.58-2.76
2 Pu 0.8189 0.8189 0.8963  6 S 2.58-2.76
3 Th 0.0000 0.0000 0.5000  8 S 2.82-2.99
4 S 0.0378 0.0378 0.2195  2 Pu 2.64-2.67, 1 Th 2.82
5 S 0.2481 0.2481 0.8639  3 Pu 2.66-2.76
6 S 0.3705 0.3705 0.4458  1 Pu 2.58
7 S 0.6295 0.6295 0.5542  1 Pu 2.58
8 S 0.7519 0.7519 0.1361  3 Pu 2.66-2.76
9 S 0.9622 0.9622 0.7805  2 Pu 2.64-2.67, 1 Th 2.82

[3]
A plane-wave DFT calculation with PBE-GGA was carried out for a relaxed structure of Pu4ThS6.

Values from the calculation:
Fermi-level density of states, states/eV/f.u.: 33.23
E_form (uncorrected), eV/atom: -1.7672
Electronic total energy, eV/atom: -9.905
Mass density, g/cm3: 9.095
Symmetry: Cmcm, No. 63

abc: 6.8603 6.8603 19.7608
angles: 90.00 90.00 146.64
Closest atoms and distances in Å follow each position.
Positions (direct):
1 Pu 0.0916 0.9084 0.6296  6 S 2.75-2.83
2 Pu 0.0916 0.9084 0.8704  6 S 2.75-2.83
3 Pu 0.3613 0.6387 0.5419  6 S 2.77-2.84
4 Pu 0.3613 0.6387 0.9581  6 S 2.77-2.84
5 Pu 0.6387 0.3613 0.0419  6 S 2.77-2.84
6 Pu 0.6387 0.3613 0.4581  6 S 2.77-2.84
7 Pu 0.9084 0.0916 0.1296  6 S 2.75-2.83
8 Pu 0.9084 0.0916 0.3704  6 S 2.75-2.83
9 Th 0.1525 0.8475 0.2500  6 S 2.80-2.90
10 Th 0.8475 0.1525 0.7500  6 S 2.80-2.90
11 S 0.0000 0.0000 0.0000  6 Pu 2.81-2.83
12 S 0.0000 0.0000 0.5000  6 Pu 2.81-2.83
13 S 0.1962 0.8038 0.7500  2 Pu 2.75, 2 Th 2.80
14 S 0.2713 0.7287 0.0889  5 Pu 2.79-2.84
15 S 0.2713 0.7287 0.4111  5 Pu 2.79-2.84
16 S 0.4530 0.5470 0.6683  3 Pu 2.77-2.79, 2 Th 2.90
17 S 0.4530 0.5470 0.8317  3 Pu 2.77-2.79, 2 Th 2.90
18 S 0.5470 0.4530 0.1683  3 Pu 2.77-2.79, 2 Th 2.90
19 S 0.5470 0.4530 0.3317  3 Pu 2.77-2.79, 2 Th 2.90
20 S 0.7287 0.2713 0.5889  5 Pu 2.79-2.84
21 S 0.7287 0.2713 0.9111  5 Pu 2.79-2.84
22 S 0.8038 0.1962 0.2500  2 Pu 2.75, 2 Th 2.80

[4]
A plane-wave DFT calculation with PBE-GGA was carried out for a relaxed structure of PuTh5S6.

Values from the calculation:
Fermi-level density of states, states/eV/f.u.: 9.30
E_form (uncorrected), eV/atom: -1.8398
Electronic total energy, eV/atom: -8.189
Mass density, g/cm3: 9.564
Symmetry: C2/m, No. 12

abc: 6.9614 6.9614 6.9816
angles: 99.54 99.54 119.77
Closest atoms and distances in Å follow each position.
Positions (direct):
1 Pu 0.0000 0.0000 0.0000  6 S 2.80-2.81
2 Th 0.1682 0.8318 0.5000  6 S 2.85-2.88
3 Th 0.3335 0.6665 0.0000  6 S 2.85
4 Th 0.5000 0.5000 0.5000  6 S 2.85-2.89
5 Th 0.6665 0.3335 0.0000  6 S 2.85
6 Th 0.8318 0.1682 0.5000  6 S 2.85-2.88
7 S 0.0818 0.4097 0.2454  1 Pu 2.80, 5 Th 2.85-2.88
8 S 0.2454 0.2454 0.7524  1 Pu 2.81, 5 Th 2.85-2.89
9 S 0.4097 0.0818 0.2454  1 Pu 2.80, 5 Th 2.85-2.88
10 S 0.5903 0.9182 0.7546  1 Pu 2.80, 5 Th 2.85-2.88
11 S 0.7546 0.7546 0.2476  1 Pu 2.81, 5 Th 2.85-2.89
12 S 0.9182 0.5903 0.7546  1 Pu 2.80, 5 Th 2.85-2.88

[5]
A plane-wave DFT calculation with PBE-GGA was carried out for a relaxed structure of Pu6ThS8.

Values from the calculation:
Fermi-level density of states, states/eV/f.u.: 57.13
E_form (uncorrected), eV/atom: -1.7508
Electronic total energy, eV/atom: -10.180
Mass density, g/cm3: 9.122
Symmetry: Fm-3m, No. 225

abc: 7.9512 7.9512 7.9512
angles: 60.00 60.00 60.00
Closest atoms and distances in Å follow each position.
Positions (direct):
1 Pu 0.0000 0.0000 0.5000  6 S 2.81
2 Pu 0.0000 0.5000 0.0000  6 S 2.81
3 Pu 0.0000 0.5000 0.5000  6 S 2.81
4 Pu 0.5000 0.0000 0.0000  6 S 2.81
5 Pu 0.5000 0.0000 0.5000  6 S 2.81
6 Pu 0.5000 0.5000 0.0000  6 S 2.81
7 Th 0.0000 0.0000 0.0000  6 S 2.83
8 S 0.2500 0.2500 0.2500  6 Pu 2.81
9 S 0.2521 0.2521 0.7479  4 Pu 2.81, 1 Th 2.83
10 S 0.2521 0.7479 0.2521  4 Pu 2.81, 1 Th 2.83
11 S 0.2521 0.7479 0.7479  4 Pu 2.81, 1 Th 2.83
12 S 0.7479 0.2521 0.2521  4 Pu 2.81, 1 Th 2.83
13 S 0.7479 0.2521 0.7479  4 Pu 2.81, 1 Th 2.83
14 S 0.7479 0.7479 0.2521  4 Pu 2.81, 1 Th 2.83
15 S 0.7500 0.7500 0.7500  6 Pu 2.81

[6]
A plane-wave DFT calculation with PBE-GGA was carried out for a relaxed structure of PuThS2.

Values from the calculation:
Fermi-level density of states, states/eV/f.u.: 7.05
E_form (uncorrected), eV/atom: -1.7735
Electronic total energy, eV/atom: -9.275
Mass density, g/cm3: 9.835
Symmetry: P6_3/mmc, No. 194
Relative energy among the computed polymorphs, meV/atom: 51.2

abc: 3.9520 3.9520 13.4853
angles: 90.00 90.00 120.00
Closest atoms and distances in Å follow each position.
Positions (direct):
1 Pu 0.0000 0.0000 0.0000  6 S 2.78
2 Pu 0.0000 0.0000 0.5000  6 S 2.78
3 Th 0.3333 0.6667 0.2500  6 S 2.89
4 Th 0.6667 0.3333 0.7500  6 S 2.89
5 S 0.3333 0.6667 0.6181  3 Pu 2.78, 3 Th 2.89
6 S 0.3333 0.6667 0.8819  3 Pu 2.78, 3 Th 2.89
7 S 0.6667 0.3333 0.1181  3 Pu 2.78, 3 Th 2.89
8 S 0.6667 0.3333 0.3819  3 Pu 2.78, 3 Th 2.89

> What is the mass density in the sixth record?

9.835 g/cm3